(1)
{"formula": "FeAg2Ru", "functional": "GGA-PBE", "state": "relaxed", "cell": [[2.782, 0.000, 0.000], [0.000, 2.782, 0.000], [0.000, 0.000, 7.891]], "species": ["Fe", "Ag", "Ag", "Ru"], "fractional_positions": [[0.000, 0.000, 0.000], [0.000, 0.000, 0.462], [0.500, 0.500, 0.744], [0.500, 0.500, 0.186]], "magmom_total_mub_per_fu": 1.6, "vol_a3_per_cell": 61, "space_group": "P4mm", "formation_enthalpy_0k_mev_per_atom": 290, "de_polymorph_mev_per_atom": 3.8, "dos_ef_per_ev_atom": 0.78}

(2)
{"formula": "FeAg2Ru", "functional": "GGA-PBE", "state": "relaxed", "cell": [[1.372, 0.792, 9.464], [-1.372, 0.792, 9.464], [0.000, -1.585, 9.464]], "species": ["Fe", "Ag", "Ag", "Ru"], "fractional_positions": [[0.000, 0.000, 0.000], [0.252, 0.252, 0.252], [0.748, 0.748, 0.748], [0.500, 0.500, 0.500]], "magmom_total_mub_per_fu": 3.1, "vol_a3_per_cell": 62, "space_group": "R-3m", "formation_enthalpy_0k_mev_per_atom": 489, "de_polymorph_mev_per_atom": 202.6, "dos_ef_per_ev_atom": 1.12}

(3)
{"formula": "FeAgRu4", "functional": "GGA-PBE", "state": "relaxed", "cell": [[0.000, 3.603, 3.603], [3.603, 0.000, 3.603], [3.603, 3.603, 0.000]], "species": ["Fe", "Ag", "Ru", "Ru", "Ru", "Ru"], "fractional_positions": [[0.000, 0.000, 0.000], [0.250, 0.250, 0.250], [0.125, 0.625, 0.625], [0.625, 0.125, 0.625], [0.625, 0.625, 0.125], [0.625, 0.625, 0.625]], "magmom_total_mub_per_fu": 5.2, "vol_a3_per_cell": 94, "space_group": "F-43m", "formation_enthalpy_0k_mev_per_atom": 674, "dos_ef_per_ev_atom": 1.63}

(4)
{"formula": "FeAgRu2", "functional": "GGA-PBE", "state": "relaxed", "cell": [[-1.379, 2.245, 4.712], [1.379, -2.245, 4.712], [1.379, 2.245, -4.712]], "species": ["Fe", "Ag", "Ru", "Ru"], "fractional_positions": [[0.000, 0.000, 0.000], [0.500, 0.500, 0.000], [0.219, 0.719, 0.500], [0.781, 0.281, 0.500]], "magmom_total_mub_per_fu": 2.4, "vol_a3_per_cell": 58, "space_group": "Immm", "formation_enthalpy_0k_mev_per_atom": 405, "de_polymorph_mev_per_atom": 101.6, "dos_ef_per_ev_atom": 1.03}

(5)
{"formula": "FeAg4Ru", "functional": "GGA-PBE", "state": "relaxed", "cell": [[0.000, 3.753, 3.753], [3.753, 0.000, 3.753], [3.753, 3.753, 0.000]], "species": ["Fe", "Ag", "Ag", "Ag", "Ag", "Ru"], "fractional_positions": [[0.000, 0.000, 0.000], [0.125, 0.625, 0.625], [0.625, 0.125, 0.625], [0.625, 0.625, 0.125], [0.625, 0.625, 0.625], [0.250, 0.250, 0.250]], "magmom_total_mub_per_fu": 4.5, "vol_a3_per_cell": 106, "space_group": "F-43m", "formation_enthalpy_0k_mev_per_atom": 760, "dos_ef_per_ev_atom": 0.98}

(6)
{"formula": "FeAg2Ru", "functional": "GGA-PBE", "state": "relaxed", "cell": [[1.401, -2.310, 0.000], [1.401, 2.310, 0.000], [0.000, 0.000, 9.676]], "species": ["Fe", "Ag", "Ag", "Ru"], "fractional_positions": [[0.000, 0.000, 0.000], [0.500, 0.500, 0.243], [0.500, 0.500, 0.757], [0.000, 0.000, 0.500]], "magmom_total_mub_per_fu": 3.3, "vol_a3_per_cell": 63, "space_group": "Cmmm", "formation_enthalpy_0k_mev_per_atom": 535, "de_polymorph_mev_per_atom": 248.2, "dos_ef_per_ev_atom": 1.02}

(7)
{"formula": "FeAgRu", "functional": "GGA-PBE", "state": "relaxed", "cell": [[-1.376, 1.376, 5.740], [1.376, -1.376, 5.740], [1.376, 1.376, -5.740]], "species": ["Fe", "Ag", "Ru"], "fractional_positions": [[0.000, 0.000, 0.000], [0.323, 0.323, 0.000], [0.632, 0.632, 0.000]], "magmom_total_mub_per_fu": 1.8, "vol_a3_per_cell": 43, "space_group": "I4mm", "formation_enthalpy_0k_mev_per_atom": 366, "de_polymorph_mev_per_atom": 32.2, "dos_ef_per_ev_atom": 1.22}

(8)
{"formula": "FeAg2Ru", "functional": "GGA-PBE", "state": "relaxed", "cell": [[4.586, -1.356, 0.000], [4.586, 1.356, 0.000], [-0.888, 0.000, 4.987]], "species": ["Fe", "Ag", "Ag", "Ru"], "fractional_positions": [[0.000, 0.000, 0.000], [0.510, 0.510, 0.525], [0.751, 0.751, 0.283], [0.266, 0.266, 0.807]], "magmom_total_mub_per_fu": 3.1, "vol_a3_per_cell": 62, "space_group": "Cm", "formation_enthalpy_0k_mev_per_atom": 467, "de_polymorph_mev_per_atom": 180.6, "dos_ef_per_ev_atom": 0.92}

(9)
{"formula": "FeAgRu2", "functional": "GGA-PBE", "state": "relaxed", "cell": [[1.420, -2.269, 0.000], [1.420, 2.269, 0.000], [0.000, 0.000, 9.126]], "species": ["Fe", "Ag", "Ru", "Ru"], "fractional_positions": [[0.000, 0.000, 0.000], [0.000, 0.000, 0.500], [0.500, 0.500, 0.226], [0.500, 0.500, 0.774]], "magmom_total_mub_per_fu": 3.6, "vol_a3_per_cell": 59, "space_group": "Cmmm", "formation_enthalpy_0k_mev_per_atom": 416, "de_polymorph_mev_per_atom": 113.3, "dos_ef_per_ev_atom": 1.23}

(10)
{"formula": "FeAgRu2", "functional": "GGA-PBE", "state": "relaxed", "cell": [[-3.483, 3.483, 2.551], [3.483, -3.483, 2.551], [3.483, 3.483, -2.551]], "species": ["Fe", "Fe", "Ag", "Ag", "Ru", "Ru", "Ru", "Ru"], "fractional_positions": [[0.000, 0.000, 0.000], [0.750, 0.250, 0.500], [0.250, 0.750, 0.500], [0.500, 0.500, 0.000], [0.067, 0.625, 0.942], [0.375, 0.317, 0.442], [0.683, 0.125, 0.058], [0.875, 0.933, 0.558]], "magmom_total_mub_per_fu": 1.0, "vol_a3_per_cell": 124, "space_group": "I-42d", "formation_enthalpy_0k_mev_per_atom": 790, "de_polymorph_mev_per_atom": 487.0, "dos_ef_per_ev_atom": 1.00}

(11)
{"formula": "FeAgRu2", "functional": "GGA-PBE", "state": "relaxed", "cell": [[2.784, 0.000, 0.000], [0.000, 4.588, 0.000], [0.000, 0.000, 4.621]], "species": ["Fe", "Ag", "Ru", "Ru"], "fractional_positions": [[0.000, 0.000, 0.000], [0.500, 0.500, 0.000], [0.000, 0.500, 0.500], [0.500, 0.000, 0.500]], "magmom_total_mub_per_fu": 4.1, "vol_a3_per_cell": 59, "space_group": "Pmmm", "formation_enthalpy_0k_mev_per_atom": 578, "de_polymorph_mev_per_atom": 275.3, "dos_ef_per_ev_atom": 1.46}

(12)
{"formula": "FeAg2Ru", "functional": "GGA-PBE", "state": "relaxed", "cell": [[2.693, 0.000, 0.000], [0.000, 2.693, 0.000], [0.000, 0.000, 8.557]], "species": ["Fe", "Ag", "Ag", "Ru"], "fractional_positions": [[0.000, 0.000, 0.000], [0.500, 0.500, 0.241], [0.500, 0.500, 0.759], [0.000, 0.000, 0.500]], "magmom_total_mub_per_fu": 3.9, "vol_a3_per_cell": 62, "space_group": "P4/mmm", "formation_enthalpy_0k_mev_per_atom": 544, "de_polymorph_mev_per_atom": 257.7, "dos_ef_per_ev_atom": 1.27}

(13)
{"formula": "FeAg2Ru", "functional": "GGA-PBE", "state": "relaxed", "cell": [[-3.631, 3.631, 2.514], [3.631, -3.631, 2.514], [3.631, 3.631, -2.514]], "species": ["Fe", "Fe", "Ag", "Ag", "Ag", "Ag", "Ru", "Ru"], "fractional_positions": [[0.000, 0.000, 0.000], [0.750, 0.250, 0.500], [0.100, 0.625, 0.975], [0.375, 0.350, 0.475], [0.650, 0.125, 0.025], [0.875, 0.900, 0.525], [0.250, 0.750, 0.500], [0.500, 0.500, 0.000]], "magmom_total_mub_per_fu": 0.9, "vol_a3_per_cell": 133, "space_group": "I-42d", "formation_enthalpy_0k_mev_per_atom": 1232, "de_polymorph_mev_per_atom": 945.2, "dos_ef_per_ev_atom": 2.14}

(14)
{"formula": "FeAgRu2", "functional": "GGA-PBE", "state": "relaxed", "cell": [[-1.908, 1.908, 3.936], [1.908, -1.908, 3.936], [1.908, 1.908, -3.936]], "species": ["Fe", "Ag", "Ru", "Ru"], "fractional_positions": [[0.000, 0.000, 0.000], [0.500, 0.500, 0.000], [0.250, 0.750, 0.500], [0.750, 0.250, 0.500]], "magmom_total_mub_per_fu": 1.5, "vol_a3_per_cell": 57, "space_group": "I4/mmm", "formation_enthalpy_0k_mev_per_atom": 509, "de_polymorph_mev_per_atom": 206.5, "dos_ef_per_ev_atom": 1.15}

(15)
{"formula": "FeAg2Ru", "functional": "GGA-PBE", "state": "relaxed", "cell": [[4.831, -1.347, 0.000], [4.831, 1.347, 0.000], [-0.784, 0.000, 4.743]], "species": ["Fe", "Ag", "Ag", "Ru"], "fractional_positions": [[0.000, 0.000, 0.000], [0.251, 0.251, 0.752], [0.749, 0.749, 0.248], [0.500, 0.500, 0.500]], "magmom_total_mub_per_fu": 3.1, "vol_a3_per_cell": 62, "space_group": "C2/m", "formation_enthalpy_0k_mev_per_atom": 468, "de_polymorph_mev_per_atom": 181.5, "dos_ef_per_ev_atom": 0.73}

(16)
{"formula": "FeAgRu2", "functional": "GGA-PBE", "state": "relaxed", "cell": [[0.000, 3.085, 3.085], [3.085, 0.000, 3.085], [3.085, 3.085, 0.000]], "species": ["Fe", "Ag", "Ru", "Ru"], "fractional_positions": [[0.000, 0.000, 0.000], [0.250, 0.250, 0.250], [0.500, 0.500, 0.500], [0.750, 0.750, 0.750]], "magmom_total_mub_per_fu": 3.6, "vol_a3_per_cell": 59, "space_group": "F-43m", "formation_enthalpy_0k_mev_per_atom": 577, "de_polymorph_mev_per_atom": 273.5, "dos_ef_per_ev_atom": 1.24}

(17)
{"formula": "FeAg2Ru", "functional": "GGA-PBE", "state": "relaxed", "cell": [[-1.482, 2.351, 4.541], [1.482, -2.351, 4.541], [1.482, 2.351, -4.541]], "species": ["Fe", "Ag", "Ag", "Ru"], "fractional_positions": [[0.000, 0.000, 0.000], [0.477, 0.477, 0.000], [0.748, 0.248, 0.500], [0.205, 0.705, 0.500]], "magmom_total_mub_per_fu": 3.7, "vol_a3_per_cell": 63, "space_group": "Imm2", "formation_enthalpy_0k_mev_per_atom": 486, "de_polymorph_mev_per_atom": 199.7, "dos_ef_per_ev_atom": 0.81}

(18)
{"formula": "FeAg2Ru", "functional": "GGA-PBE", "state": "relaxed", "cell": [[2.658, 0.000, 0.000], [0.000, 4.779, 0.000], [-0.494, 0.000, 4.917]], "species": ["Fe", "Ag", "Ag", "Ru"], "fractional_positions": [[0.000, 0.000, 0.000], [0.222, 0.500, 0.753], [0.778, 0.500, 0.247], [0.500, 0.000, 0.500]], "magmom_total_mub_per_fu": 3.5, "vol_a3_per_cell": 62, "space_group": "P2/m", "formation_enthalpy_0k_mev_per_atom": 520, "de_polymorph_mev_per_atom": 232.9, "dos_ef_per_ev_atom": 1.01}

(19)
{"formula": "FeAgRu2", "functional": "GGA-PBE", "state": "relaxed", "cell": [[1.364, 0.787, 9.014], [-1.364, 0.787, 9.014], [0.000, -1.574, 9.014]], "species": ["Fe", "Ag", "Ru", "Ru"], "fractional_positions": [[0.000, 0.000, 0.000], [0.753, 0.753, 0.753], [0.255, 0.255, 0.255], [0.511, 0.511, 0.511]], "magmom_total_mub_per_fu": 2.2, "vol_a3_per_cell": 58, "space_group": "R3m", "formation_enthalpy_0k_mev_per_atom": 310, "de_polymorph_mev_per_atom": 6.7, "dos_ef_per_ev_atom": 1.02}

(20)
{"formula": "FeAgRu2", "functional": "GGA-PBE", "state": "relaxed", "cell": [[1.352, 0.781, 9.018], [-1.352, 0.781, 9.018], [0.000, -1.561, 9.018]], "species": ["Fe", "Ag", "Ru", "Ru"], "fractional_positions": [[0.000, 0.000, 0.000], [0.500, 0.500, 0.500], [0.259, 0.259, 0.259], [0.741, 0.741, 0.741]], "magmom_total_mub_per_fu": 1.7, "vol_a3_per_cell": 57, "space_group": "R-3m", "formation_enthalpy_0k_mev_per_atom": 305, "de_polymorph_mev_per_atom": 2.3, "dos_ef_per_ev_atom": 1.00}